Record 1
Material: ScCuPt
Method: DFT, PBE-GGA
State: relaxed

Results
Fermi-level density of states = 0.524 states/eV/atom
V = 49.3 Å³ per cell
symmetry = P-6m2, No. 187
energy of formation from the pure elements = -198 kJ/mol of formula units
total moment = 0.000 μB per cell
uncorrected energy = -18.53 eV/f.u.

Unit cell a=4.396 b=4.396 c=2.947 alpha=90.00 beta=90.00 gamma=120.00
Element x y z (fractional)
Cu 0.000 0.000 0.166
Pt 0.667 0.333 0.167
Sc 0.333 0.667 0.667

Record 2
Material: ZrIn2Se
Method: DFT, PBE-GGA
State: relaxed

Results
Fermi-level density of states = 0.526 states/eV/atom
V = 95.9 Å³ per cell
symmetry = P4mm, No. 99
energy relative to the elements, uncorrected = -0.50 eV per atom
total moment = 0.000 μB per cell
uncorrected energy = -19.49 eV/f.u.

Unit cell a=3.482 b=3.482 c=7.906 alpha=90.00 beta=90.00 gamma=90.00
Element x y z (fractional)
Zr 0.500 0.500 0.709
Se 0.000 0.000 0.556
In 0.500 0.500 0.257
In 0.000 0.000 0.978

Record 3
Material: CdSiOs2N
Method: DFT, PBE-GGA
State: relaxed

Results
Fermi-level density of states = 0.560 states/eV/atom
V = 78.2 Å³ per cell
symmetry = P4/mmm, No. 123
energy relative to the elements, uncorrected = 0.96 eV per atom
total moment = 0.000 μB per cell
uncorrected energy = -32.34 eV/f.u.

Unit cell a=3.963 b=4.979 c=3.963 alpha=90.00 beta=90.00 gamma=90.00
Element x y z (fractional)
Os 0.000 0.000 0.500
Cd 0.000 0.500 0.000
Si 0.500 0.500 0.500
Os 0.500 0.000 0.000
N 0.000 0.000 0.000

Record 4
Material: Nd4TlC
Method: DFT, PBE-GGA
State: relaxed

Results
Fermi-level density of states = 1.103 states/eV/atom
V = 338.2 Å³ per cell
symmetry = P-1, No. 2
energy of formation from the pure elements = -72 kJ/mol of formula units
total moment = 0.001 μB per cell
uncorrected energy = -31.41 eV/f.u.

Unit cell a=6.332 b=7.200 c=8.355 alpha=105.19 beta=112.21 gamma=90.05
Element x y z (fractional)
Nd 0.884 0.842 0.619
Tl 0.907 0.750 0.000
Nd 0.307 0.545 0.801
C 0.500 0.000 0.500
Nd 0.506 0.955 0.199
Nd 0.693 0.455 0.199
Nd 0.494 0.045 0.801
Nd 0.735 0.342 0.619
Tl 0.093 0.250 0.000
Nd 0.265 0.658 0.381
Nd 0.116 0.158 0.381
C 0.000 0.500 0.500

Record 5
Material: Ba4CrCl
Method: DFT, PBE-GGA
State: relaxed

Results
Fermi-level density of states = 1.528 states/eV/atom
V = 302.9 Å³ per cell
symmetry = F-43m, No. 216
energy relative to the elements, uncorrected = 0.46 eV per atom
total moment = 5.072 μB per cell
uncorrected energy = -16.41 eV/f.u.

Unit cell a=7.538 b=7.538 c=7.538 alpha=60.00 beta=60.00 gamma=60.00
Element x y z (fractional)
Ba 0.875 0.375 0.375
Ba 0.375 0.375 0.875
Cl 0.750 0.750 0.750
Cr 0.000 0.000 0.000
Ba 0.375 0.875 0.375
Ba 0.375 0.375 0.375

Record 6
Material: Tm12Th5Hg3
Method: DFT, PBE-GGA
State: relaxed

Results
Fermi-level density of states = 1.878 states/eV/atom
V = 2958.5 Å³ per cell
symmetry = Ia-3d, No. 230
energy of formation from the pure elements = 1870 kJ/mol of formula units
total moment = 0.007 μB per cell
uncorrected energy = -72.28 eV/f.u.

Unit cell a=15.664 b=15.664 c=15.664 alpha=109.47 beta=109.47 gamma=109.47
Element x y z (fractional)
Hg 0.125 0.875 0.750
Tm 0.090 0.155 0.235
Th 0.500 0.500 0.000
Tm 0.735 0.145 0.080
Th 0.875 0.625 0.750
Tm 0.565 0.920 0.655
Th 0.875 0.250 0.625
Tm 0.910 0.845 0.765
Hg 0.375 0.625 0.250
Hg 0.375 0.750 0.625
Hg 0.750 0.875 0.625
Th 0.000 0.000 0.500
Tm 0.565 0.645 0.410
Tm 0.265 0.855 0.920
Tm 0.645 0.080 0.235
Th 0.500 0.000 0.500
Tm 0.355 0.920 0.765
Hg 0.625 0.250 0.375
Th 0.500 0.500 0.500
Tm 0.655 0.235 0.590
Tm 0.590 0.855 0.435
Th 0.625 0.750 0.875
Tm 0.080 0.435 0.845
Th 0.625 0.875 0.250
Th 0.000 0.000 0.000
Tm 0.855 0.590 0.935
Tm 0.065 0.910 0.145
Tm 0.410 0.145 0.565
Tm 0.655 0.420 0.565
Hg 0.875 0.750 0.125
Tm 0.435 0.355 0.590
Tm 0.920 0.565 0.155
Th 0.000 0.500 0.000
Tm 0.580 0.235 0.145
Tm 0.155 0.065 0.920
Th 0.375 0.250 0.125
Tm 0.065 0.155 0.420
Th 0.750 0.625 0.375
Hg 0.625 0.375 0.750
Hg 0.875 0.125 0.250
Tm 0.145 0.735 0.580
Tm 0.090 0.935 0.355
Th 0.250 0.375 0.625
Tm 0.580 0.345 0.935
Tm 0.935 0.845 0.580
Tm 0.155 0.090 0.735
Tm 0.420 0.765 0.855
Tm 0.435 0.080 0.345
Tm 0.765 0.345 0.910
Tm 0.590 0.735 0.655
Tm 0.345 0.580 0.435
Tm 0.145 0.410 0.065
Tm 0.845 0.935 0.080
Tm 0.910 0.065 0.645
Tm 0.265 0.410 0.845
Hg 0.125 0.250 0.875
Th 0.125 0.750 0.375
Th 0.500 0.000 0.000
Th 0.000 0.500 0.500
Tm 0.920 0.355 0.265
Tm 0.235 0.655 0.090
Th 0.375 0.125 0.750
Tm 0.345 0.765 0.410
Tm 0.735 0.590 0.155
Tm 0.845 0.910 0.265
Tm 0.765 0.420 0.355
Tm 0.355 0.435 0.090
Th 0.750 0.125 0.875
Tm 0.645 0.565 0.910
Tm 0.935 0.090 0.855
Tm 0.235 0.580 0.645
Hg 0.250 0.625 0.875
Hg 0.250 0.125 0.375
Th 0.125 0.375 0.250
Tm 0.410 0.265 0.345
Tm 0.420 0.655 0.065
Tm 0.080 0.645 0.735
Hg 0.750 0.375 0.125
Tm 0.855 0.265 0.420
Th 0.250 0.875 0.125